1.
Compound: Cu2As2Au
Source: Alexandria via LeMat-Bulk
Functional: PBE
Structure: optimized geometry

abc: 3.735 3.735 12.185
angles: 90.00 90.00 90.00
Space group I4/mmm (No. 139)
Inequivalent atoms, fractional coordinates:
Cu1 0.000 0.000 0.098 (multiplicity 4)
As1 0.000 0.500 0.250 (multiplicity 4)
Au1 0.000 0.000 0.500 (multiplicity 2)

Computed properties:
**Density of states at the Fermi level**: 0.23 states/eV/atom
**Formation enthalpy at 0 K**: 0.25 eV/atom
**Energy above the lowest structure with this stoichiometry**: 0.33 eV/f.u.
**Calculated volume**: 85 Å³/f.u.
**Energy**: -3.9046 eV per atom

---

2.
Compound: CuAsAu2
Source: Alexandria via LeMat-Bulk
Functional: PBE
Structure: optimized geometry

abc: 9.191 3.021 4.987
angles: 90.00 100.13 90.00
Space group C2/m (No. 12)
Inequivalent atoms, fractional coordinates:
Cu1 0.000 0.000 0.000 (multiplicity 2)
As1 0.000 0.500 0.500 (multiplicity 2)
Au1 0.243 0.500 0.241 (multiplicity 4)

Computed properties:
**Density of states at the Fermi level**: 0.39 states/eV/atom
**Formation enthalpy at 0 K**: 0.13 eV/atom
**Calculated volume**: 68 Å³/f.u.
**Energy**: -3.6963 eV per atom

---

3.
Compound: Cu4AsAu
Source: Alexandria via LeMat-Bulk
Functional: PBE
Structure: optimized geometry

abc: 6.983 6.983 6.983
angles: 90.00 90.00 90.00
Space group F-43m (No. 216)
Inequivalent atoms, fractional coordinates:
Cu1 0.125 0.125 0.125 (multiplicity 16)
As1 0.000 0.000 0.500 (multiplicity 4)
Au1 0.250 0.250 0.750 (multiplicity 4)

Computed properties:
**Density of states at the Fermi level**: 0.30 states/eV/atom
**Formation enthalpy at 0 K**: 0.12 eV/atom
**Calculated volume**: 85 Å³/f.u.
**Energy**: -3.9330 eV per atom

---

4.
Compound: CuAsAu2
Source: Alexandria via LeMat-Bulk
Functional: PBE
Structure: optimized geometry

abc: 3.009 4.859 4.748
angles: 90.00 90.67 90.00
Space group P2/m (No. 10)
Inequivalent atoms, fractional coordinates:
Cu1 0.000 0.000 0.000 (multiplicity 1)
As1 0.500 0.000 0.500 (multiplicity 1)
Au1 0.251 0.500 0.755 (multiplicity 2)

Computed properties:
**Density of states at the Fermi level**: 0.44 states/eV/atom
**Formation enthalpy at 0 K**: 0.17 eV/atom
**Calculated volume**: 69 Å³/f.u.
**Energy**: -3.6575 eV per atom

---

5.
Compound: CuAs2Au
Source: Alexandria via LeMat-Bulk
Functional: PBE
Structure: optimized geometry

abc: 4.000 4.013 8.906
angles: 90.00 90.00 90.00
Space group Cmm2 (No. 35)
Inequivalent atoms, fractional coordinates:
Cu1 0.000 0.000 0.000 (multiplicity 2)
As1 0.000 0.000 0.531 (multiplicity 2)
As2 0.000 0.500 0.192 (multiplicity 2)
Au1 0.000 0.500 0.780 (multiplicity 2)

Computed properties:
**Density of states at the Fermi level**: 0.40 states/eV/atom
**Formation enthalpy at 0 K**: 0.17 eV/atom
**Energy above the lowest structure with this stoichiometry**: 0.22 eV/f.u.
**Calculated volume**: 71 Å³/f.u.
**Energy**: -4.0012 eV per atom

---

6.
Compound: CuAsAu2
Source: Alexandria via LeMat-Bulk
Functional: PBE
Structure: optimized geometry

abc: 4.030 4.030 8.358
angles: 90.00 90.00 90.00
Space group I-4m2 (No. 119)
Inequivalent atoms, fractional coordinates:
Cu1 0.000 0.000 0.000 (multiplicity 2)
As1 0.000 0.500 0.750 (multiplicity 2)
Au1 0.000 0.000 0.500 (multiplicity 2)
Au2 0.000 0.500 0.250 (multiplicity 2)

Computed properties:
**Density of states at the Fermi level**: 0.32 states/eV/atom
**Formation enthalpy at 0 K**: 0.14 eV/atom
**Calculated volume**: 68 Å³/f.u.
**Energy**: -3.6830 eV per atom

---

7.
Compound: CuAsAu2
Source: Alexandria via LeMat-Bulk
Functional: PBE
Structure: optimized geometry

abc: 3.0430 3.0430 25.7289
angles: 90.00 90.00 120.00
Space group R-3m (No. 166, hexagonal axes)
Inequivalent atoms, fractional coordinates:
Cu1 0.0000 0.0000 0.0000 (multiplicity 3)
As1 0.0000 0.0000 0.5000 (multiplicity 3)
Au1 0.0000 0.0000 0.2549 (multiplicity 6)

Computed properties:
**Density of states at the Fermi level**: 0.50 states/eV/atom
**Formation enthalpy at 0 K**: 0.15 eV/atom
**Calculated volume**: 69 Å³/f.u.
**Energy**: -3.6708 eV per atom

---

8.
Compound: Cu2AsAu
Source: Alexandria via LeMat-Bulk
Functional: PBE
Structure: optimized geometry

abc: 3.999 3.999 7.610
angles: 90.00 90.00 90.00
Space group I4/mmm (No. 139)
Inequivalent atoms, fractional coordinates:
Cu1 0.000 0.500 0.250 (multiplicity 4)
As1 0.000 0.000 0.000 (multiplicity 2)
Au1 0.000 0.000 0.500 (multiplicity 2)

Computed properties:
**Density of states at the Fermi level**: 0.28 states/eV/atom
**Formation enthalpy at 0 K**: 0.10 eV/atom
**Calculated volume**: 61 Å³/f.u.
**Energy**: -3.9286 eV per atom

---

9.
Compound: CuAs2Au
Source: Alexandria via LeMat-Bulk
Functional: PBE
Structure: optimized geometry

abc: 4.154 4.154 4.027
angles: 90.00 90.00 90.00
Space group P4/mmm (No. 123)
Inequivalent atoms, fractional coordinates:
Cu1 0.000 0.000 0.000 (multiplicity 1)
As1 0.000 0.500 0.500 (multiplicity 2)
Au1 0.500 0.500 0.000 (multiplicity 1)

Computed properties:
**Density of states at the Fermi level**: 0.30 states/eV/atom
**Formation enthalpy at 0 K**: 0.25 eV/atom
**Energy above the lowest structure with this stoichiometry**: 0.57 eV/f.u.
**Calculated volume**: 69 Å³/f.u.
**Energy**: -3.9145 eV per atom

---

10.
Compound: CuAs2Au
Source: Alexandria via LeMat-Bulk
Functional: PBE
Structure: optimized geometry

abc: 4.071 4.086 8.382
angles: 90.00 90.00 90.00
Space group Imm2 (No. 44)
Inequivalent atoms, fractional coordinates:
Cu1 0.000 0.000 0.000 (multiplicity 2)
As1 0.000 0.000 0.498 (multiplicity 2)
As2 0.000 0.500 0.748 (multiplicity 2)
Au1 0.000 0.500 0.249 (multiplicity 2)

Computed properties:
**Density of states at the Fermi level**: 0.43 states/eV/atom
**Formation enthalpy at 0 K**: 0.27 eV/atom
**Energy above the lowest structure with this stoichiometry**: 0.63 eV/f.u.
**Calculated volume**: 70 Å³/f.u.
**Energy**: -3.8998 eV per atom

---

11.
Compound: CuAsAu2
Source: Alexandria via LeMat-Bulk
Functional: PBE
Structure: optimized geometry

abc: 3.978 3.978 18.322
angles: 90.00 90.00 90.00
Space group I-42d (No. 122)
Inequivalent atoms, fractional coordinates:
Cu1 0.000 0.000 0.000 (multiplicity 4)
As1 0.000 0.000 0.500 (multiplicity 4)
Au1 0.248 0.250 0.125 (multiplicity 8)

Computed properties:
**Density of states at the Fermi level**: 0.47 states/eV/atom
**Formation enthalpy at 0 K**: 0.16 eV/atom
**Calculated volume**: 72 Å³/f.u.
**Energy**: -3.6601 eV per atom

---

12.
Compound: CuAsAu2
Source: Alexandria via LeMat-Bulk
Functional: PBE
Structure: optimized geometry

abc: 3.1046 3.1046 24.7247
angles: 90.00 90.00 120.00
Space group R3m (No. 160, hexagonal axes)
Inequivalent atoms, fractional coordinates:
Cu1 0.0000 0.0000 0.0000 (multiplicity 3)
As1 0.0000 0.0000 0.2611 (multiplicity 3)
Au1 0.0000 0.0000 0.5057 (multiplicity 3)
Au2 0.0000 0.0000 0.7464 (multiplicity 3)

Computed properties:
**Density of states at the Fermi level**: 0.27 states/eV/atom
**Formation enthalpy at 0 K**: 0.12 eV/atom
**Calculated volume**: 69 Å³/f.u.
**Energy**: -3.7027 eV per atom